(1)
DFT (PBE) results for a relaxed structure of UPaAl2.

abc: 2.9986 2.9986 10.7149
angles: 81.96 81.96 60.00
Last column: magnetic moment on the atom in μB.
Atoms (fractional coordinates):
Al  0.7492  0.7492  0.7524  -0.01
Pa  0.5000  0.5000  0.5000  -0.03
Al  0.2508  0.2508  0.2476  -0.01
U  0.0000  0.0000  0.0000  1.20

Values from the calculation:
- DOS at the Fermi energy (states/eV/cell) = 5.431
- spin magnetization (μB/atom) = 0.296
- excess energy over the best structure of this formula in the dataset (meV per atom) = 49


(2)
DFT (PBE) results for a relaxed structure of UPa3Al8.

abc: 5.5813 5.5813 8.6860
angles: 90.00 90.00 120.00
Last column: magnetic moment on the atom in μB.
Atoms (fractional coordinates):
Al  0.6801  0.8401  0.2509  0.00
Pa  0.6667  0.3333  0.0850  0.26
Al  0.3333  0.6667  0.9997  -0.01
Al  0.5064  0.4936  0.7488  0.00
Al  0.1599  0.8401  0.2509  0.00
Al  0.5064  0.0127  0.7488  0.00
Al  0.9873  0.4936  0.7488  0.00
Pa  0.6667  0.3333  0.4186  0.55
Pa  0.0000  0.0000  0.9060  0.51
Al  0.1599  0.3199  0.2509  0.00
U  0.0000  0.0000  0.5908  2.12
Al  0.3333  0.6667  0.5010  -0.01

Values from the calculation:
- DOS at the Fermi energy (states/eV/cell) = 16.607
- spin magnetization (μB/atom) = 0.328


Number 1: formation energy -0.035 eV/atom. Number 2: formation energy -0.277 eV/atom.